# 1
VASP calculation (PBE) on a geometry-optimized LiTa structure.

The value obtained for the energy above the lowest structure with this stoichiometry is 0.601 eV per atom. Its crystal system is orthorhombic. Its total magnetization is 0.0 μB per formula unit. The formation energy is 0.82 eV/atom. The value obtained for the total energy is -6.07 eV per atom.

The structure belongs to space group Fddd (No. 70, origin choice 2); the cell edges are 6.858, 7.692 and 9.693 Å and the angles 90.00°, 90.00° and 90.00°. Symmetry generates all atoms from Li at (0.024, 0.375, 0.375) and Ta at (0.125, 0.291, 0.625).

=====

# 2
VASP calculation (PBE) on a geometry-optimized LiTa structure.

The value obtained for the energy above the lowest structure with this stoichiometry is 0.053 eV per atom. Its crystal system is trigonal. Its total magnetization is 0.0 μB per formula unit. The formation energy is 0.27 eV/atom. The value obtained for the total energy is -6.61 eV per atom.

The structure belongs to space group R-3m (No. 166, hexagonal axes); the cell edges are 2.8287, 2.8287 and 31.4163 Å and the angles 90.00°, 90.00° and 120.00°. Symmetry generates all atoms from Li at (0.0000, 0.0000, 0.1248) and Ta at (0.0000, 0.0000, 0.3754).

=====

# 3
VASP calculation (PBE) on a geometry-optimized LiTa3 structure.

The value obtained for the energy above the lowest structure with this stoichiometry is 0.148 eV per atom. Its crystal system is hexagonal. Its total magnetization is 0.0 μB per formula unit. The formation energy is 0.36 eV/atom. The value obtained for the total energy is -9.01 eV per atom.

The structure belongs to space group P6_3/mmc (No. 194); the cell edges are 5.7796, 5.7796 and 4.7767 Å and the angles 90.00°, 90.00° and 120.00°. Symmetry generates all atoms from Li at (0.3333, 0.6667, 0.2500) and Ta at (0.1669, 0.3339, 0.7500).

=====

# 4
VASP calculation (PBE) on a geometry-optimized LiTa structure.

The value obtained for the energy above the lowest structure with this stoichiometry is 0.250 eV per atom. Its crystal system is orthorhombic. Its total magnetization is 0.0 μB per formula unit. The formation energy is 0.47 eV/atom. The value obtained for the total energy is -6.42 eV per atom.

The structure belongs to space group Imma (No. 74); the cell edges are 2.858, 4.905 and 8.982 Å and the angles 90.00°, 90.00° and 90.00°. Symmetry generates all atoms from Li at (0.000, 0.250, 0.151) and Ta at (0.000, 0.250, 0.616).

=====

# 5
VASP calculation (PBE) on a geometry-optimized LiTa structure.

The value obtained for the energy above the lowest structure with this stoichiometry is 1.197 eV per atom. Its crystal system is cubic. Its total magnetization is 0.0 μB per formula unit. The formation energy is 1.41 eV/atom. The value obtained for the total energy is -5.47 eV per atom.

The structure belongs to space group Fm-3m (No. 225); the cell edges are 5.009, 5.009 and 5.009 Å and the angles 90.00°, 90.00° and 90.00°. Symmetry generates all atoms from Li at (0.000, 0.000, 0.000) and Ta at (0.000, 0.000, 0.500).

=====

# 6
VASP calculation (PBE) on a geometry-optimized Li5Ta structure.

The value obtained for the energy above the lowest structure with this stoichiometry is 0.088 eV per atom. Its crystal system is monoclinic. Its total magnetization is 0.0 μB per formula unit. The formation energy is 0.30 eV/atom. The value obtained for the total energy is -3.27 eV per atom.

The structure belongs to space group Cm (No. 8); the cell edges are 11.494, 2.625 and 7.303 Å and the angles 90.00°, 103.58° and 90.00°. Symmetry generates all atoms from Li at (0.000, 0.000, 0.000), Li at (0.063, 0.000, 0.627), Li at (0.161, 0.500, 0.322), Li at (0.241, 0.500, 0.975), Li at (0.329, 0.000, 0.656) and Ta at (0.398, 0.000, 0.300).

=====

# 7
VASP calculation (PBE) on a geometry-optimized Li5Ta structure.

The value obtained for the energy above the lowest structure with this stoichiometry is 0.387 eV per atom. Its crystal system is cubic. Its total magnetization is 0.8 μB per formula unit. The formation energy is 0.60 eV/atom. The value obtained for the total energy is -2.97 eV per atom.

The structure belongs to space group F-43m (No. 216); the cell edges are 7.376, 7.376 and 7.376 Å and the angles 90.00°, 90.00° and 90.00°. Symmetry generates all atoms from Li at (0.000, 0.000, 0.000), Li at (0.125, 0.125, 0.625) and Ta at (0.250, 0.250, 0.250).

=====

# 8
VASP calculation (PBE) on a geometry-optimized LiTb2Ta structure.

Its crystal system is trigonal. Its total magnetization is 0.0 μB per formula unit. The formation energy is 0.61 eV/atom. The value obtained for the total energy is -5.15 eV per atom.

The structure belongs to space group R-3m (No. 166, hexagonal axes); the cell edges are 3.1511, 3.1511 and 34.9808 Å and the angles 90.00°, 90.00° and 120.00°. Symmetry generates all atoms from Li at (0.0000, 0.0000, 0.0000), Tb at (0.0000, 0.0000, 0.4159) and Ta at (0.0000, 0.0000, 0.5000).

=====

# 9
VASP calculation (PBE) on a geometry-optimized LiTa2Tc structure.

Its crystal system is orthorhombic. Its total magnetization is 0.0 μB per formula unit. The formation energy is 0.14 eV/atom. The value obtained for the total energy is -8.85 eV per atom.

The structure belongs to space group Cmm2 (No. 35); the cell edges are 3.179, 4.586 and 9.320 Å and the angles 90.00°, 90.00° and 90.00°. Symmetry generates all atoms from Li at (0.000, 0.000, 0.000), Ta at (0.000, 0.000, 0.536), Ta at (0.000, 0.500, 0.277) and Tc at (0.000, 0.500, 0.762).

=====

# 10
VASP calculation (PBE) on a geometry-optimized LiTa2Tc structure.

Its crystal system is trigonal. Its total magnetization is 0.0 μB per formula unit. The formation energy is 0.29 eV/atom. The value obtained for the total energy is -8.70 eV per atom.

The structure belongs to space group R-3m (No. 166, hexagonal axes); the cell edges are 2.9263, 2.9263 and 28.1320 Å and the angles 90.00°, 90.00° and 120.00°. Symmetry generates all atoms from Li at (0.0000, 0.0000, 0.0000), Ta at (0.0000, 0.0000, 0.2432) and Tc at (0.0000, 0.0000, 0.5000).

=====

# 11
VASP calculation (PBE) on a geometry-optimized LiTa2Tc structure.

Its crystal system is monoclinic. Its total magnetization is 0.0 μB per formula unit. The formation energy is 0.16 eV/atom. The value obtained for the total energy is -8.84 eV per atom.

The structure belongs to space group P2/m (No. 10); the cell edges are 2.733, 4.420 and 5.484 Å and the angles 90.00°, 99.20° and 90.00°. Symmetry generates all atoms from Li at (0.000, 0.000, 0.000), Ta at (0.255, 0.500, 0.740) and Tc at (0.500, 0.000, 0.500).

=====

# 12
VASP calculation (PBE) on a geometry-optimized LiTaTc2 structure.

The value obtained for the energy above the lowest structure with this stoichiometry is 0.044 eV per atom. Its crystal system is monoclinic. Its total magnetization is 0.0 μB per formula unit. The formation energy is 0.14 eV/atom. The value obtained for the total energy is -8.49 eV per atom.

The structure belongs to space group C2/m (No. 12); the cell edges are 5.443, 8.748 and 2.686 Å and the angles 90.00°, 110.11° and 90.00°. Symmetry generates all atoms from Li at (0.000, 0.000, 0.000), Ta at (0.000, 0.500, 0.000) and Tc at (0.250, 0.250, 0.500).